Entry 1:
DFT (GGA-PBE) results for a relaxed NdLu3Tc crystal.

```
data_NdLu3Tc
_space_group_name_H-M_alt 'P m -3 m'
_space_group_IT_number 221
_space_group_name_Hall '-P 4 2 3'
_cell_length_a 5.313
_cell_length_b 5.313
_cell_length_c 5.313
_cell_angle_alpha 90.00
_cell_angle_beta 90.00
_cell_angle_gamma 90.00
loop_
_atom_site_label
_atom_site_fract_x
_atom_site_fract_y
_atom_site_fract_z
_atom_site_occupancy
Nd1 0.000 0.000 0.000 1
Lu1 0.000 0.500 0.500 1
Tc1 0.500 0.500 0.500 1
```

Properties
formation energy from the elements = 0.07 eV per atom

---

Entry 2:
DFT (GGA-PBE) results for a relaxed NdLu2Tc crystal.

```
data_NdLu2Tc
_space_group_name_H-M_alt 'P 4/m m m'
_space_group_IT_number 123
_space_group_name_Hall '-P 4 2'
_cell_length_a 3.406
_cell_length_b 3.406
_cell_length_c 8.997
_cell_angle_alpha 90.00
_cell_angle_beta 90.00
_cell_angle_gamma 90.00
loop_
_atom_site_label
_atom_site_fract_x
_atom_site_fract_y
_atom_site_fract_z
_atom_site_occupancy
Nd1 0.000 0.000 0.000 1
Lu1 0.500 0.500 0.321 1
Tc1 0.000 0.000 0.500 1
```

Properties
formation energy from the elements = -0.06 eV per atom

---

Entry 3:
DFT (GGA-PBE) results for a relaxed NdLuZnTc crystal.

```
data_NdLuZnTc
_space_group_name_H-M_alt 'F -4 3 m'
_space_group_IT_number 216
_space_group_name_Hall 'F -4 2 3'
_cell_length_a 7.012
_cell_length_b 7.012
_cell_length_c 7.012
_cell_angle_alpha 90.00
_cell_angle_beta 90.00
_cell_angle_gamma 90.00
loop_
_atom_site_label
_atom_site_fract_x
_atom_site_fract_y
_atom_site_fract_z
_atom_site_occupancy
Nd1 0.000 0.000 0.000 1
Lu1 0.000 0.000 0.500 1
Zn1 0.250 0.250 0.250 1
Tc1 0.250 0.250 0.750 1
```

Properties
formation energy from the elements = -0.09 eV per atom

---

Entry 4:
DFT (GGA-PBE) results for a relaxed NdLuTe2 crystal.

```
data_NdLuTe2
_space_group_name_H-M_alt 'P 4/m m m'
_space_group_IT_number 123
_space_group_name_Hall '-P 4 2'
_cell_length_a 3.806
_cell_length_b 3.806
_cell_length_c 7.613
_cell_angle_alpha 90.00
_cell_angle_beta 90.00
_cell_angle_gamma 90.00
loop_
_atom_site_label
_atom_site_fract_x
_atom_site_fract_y
_atom_site_fract_z
_atom_site_occupancy
Nd1 0.000 0.000 0.000 1
Lu1 0.000 0.000 0.500 1
Te1 0.500 0.500 0.260 1
```

Properties
ΔE to the lowest computed polymorph = 7 meV per atom
ΔE_f (raw) = -4.57 eV per formula unit

---

Entry 5:
DFT (GGA-PBE) results for a relaxed NdLuTe2 crystal.

```
data_NdLuTe2
_space_group_name_H-M_alt 'F m -3 m'
_space_group_IT_number 225
_space_group_name_Hall '-F 4 2 3'
_cell_length_a 7.624
_cell_length_b 7.624
_cell_length_c 7.624
_cell_angle_alpha 90.00
_cell_angle_beta 90.00
_cell_angle_gamma 90.00
loop_
_atom_site_label
_atom_site_fract_x
_atom_site_fract_y
_atom_site_fract_z
_atom_site_occupancy
Nd1 0.000 0.000 0.000 1
Lu1 0.000 0.000 0.500 1
Te1 0.250 0.250 0.250 1
```

Properties
ΔE to the lowest computed polymorph = 21 meV per atom
ΔE_f (raw) = -4.51 eV per formula unit

---

Entry 6:
DFT (GGA-PBE) results for a relaxed NdLuTe2 crystal.

```
data_NdLuTe2
_space_group_name_H-M_alt 'P 4/m m m'
_space_group_IT_number 123
_space_group_name_Hall '-P 4 2'
_cell_length_a 5.372
_cell_length_b 5.372
_cell_length_c 3.819
_cell_angle_alpha 90.00
_cell_angle_beta 90.00
_cell_angle_gamma 90.00
loop_
_atom_site_label
_atom_site_fract_x
_atom_site_fract_y
_atom_site_fract_z
_atom_site_occupancy
Nd1 0.000 0.000 0.000 1
Lu1 0.500 0.500 0.000 1
Te1 0.000 0.500 0.500 1
```

Properties
ΔE to the lowest computed polymorph = 0 meV per atom
ΔE_f (raw) = -4.60 eV per formula unit

---

Entry 7:
DFT (GGA-PBE) results for a relaxed Nd2LuTh crystal.

```
data_Nd2LuTh
_space_group_name_H-M_alt 'F m -3 m'
_space_group_IT_number 225
_space_group_name_Hall '-F 4 2 3'
_cell_length_a 8.097
_cell_length_b 8.097
_cell_length_c 8.097
_cell_angle_alpha 90.00
_cell_angle_beta 90.00
_cell_angle_gamma 90.00
loop_
_atom_site_label
_atom_site_fract_x
_atom_site_fract_y
_atom_site_fract_z
_atom_site_occupancy
Nd1 0.250 0.250 0.250 1
Lu1 0.000 0.000 0.000 1
Th1 0.000 0.000 0.500 1
```

Properties
formation energy from the elements = 0.21 eV per atom
ΔE to the lowest computed polymorph = 163 meV per atom

---

Entry 8:
DFT (GGA-PBE) results for a relaxed NdLu2Th crystal.

```
data_NdLu2Th
_space_group_name_H-M_alt 'P 4/m m m'
_space_group_IT_number 123
_space_group_name_Hall '-P 4 2'
_cell_length_a 3.576
_cell_length_b 3.576
_cell_length_c 9.842
_cell_angle_alpha 90.00
_cell_angle_beta 90.00
_cell_angle_gamma 90.00
loop_
_atom_site_label
_atom_site_fract_x
_atom_site_fract_y
_atom_site_fract_z
_atom_site_occupancy
Nd1 0.000 0.000 0.000 1
Lu1 0.500 0.500 0.258 1
Th1 0.000 0.000 0.500 1
```

Properties
formation energy from the elements = 0.01 eV per atom
ΔE to the lowest computed polymorph = 0 meV per atom

---

Number 1: VASP energy -5.665 eV/atom. Number 2: VASP energy -6.100 eV/atom. Number 3: VASP energy -5.323 eV/atom. Number 4: VASP energy -5.035 eV/atom. Number 5: VASP energy -5.021 eV/atom. Number 6: VASP energy -5.042 eV/atom. Number 7: VASP energy -5.156 eV/atom. Number 8: VASP energy -5.297 eV/atom.